Record 1
Below is a relaxed structure of RbHo2Cu3TeS4, with properties calculated at the PBE level.

Summary:
Final energy ... -4.836 eV per atom
Crystal system ... orthorhombic

Cell: 7.2781 7.2781 17.1554 Å, 90.00 90.00 147.83°
Sites, in units of the cell vectors:
S 0.1685 0.8315 0.4311
Cu 0.5843 0.4157 0.4618
Cu 0.5843 0.4157 0.0382
S 0.5616 0.4384 0.6089
Ho 0.8124 0.1876 0.0847
Cu 0.4157 0.5843 0.9618
Ho 0.8124 0.1876 0.4153
S 0.1685 0.8315 0.0689
Cu 0.6457 0.3543 0.7500
S 0.4384 0.5616 0.3911
Te 0.7477 0.2523 0.2500
Ho 0.1876 0.8124 0.5847
Rb 0.9522 0.0478 0.7500
Cu 0.3543 0.6457 0.2500
Ho 0.1876 0.8124 0.9153
Rb 0.0478 0.9522 0.2500
S 0.8315 0.1685 0.5689
S 0.8315 0.1685 0.9311
S 0.5616 0.4384 0.8911
Cu 0.4157 0.5843 0.5382
S 0.4384 0.5616 0.1089
Te 0.2523 0.7477 0.7500

=====

Record 2
Below is a relaxed structure of RbHo2Cu3Te4S, with properties calculated at the PBE level.

Summary:
Final energy ... -4.361 eV per atom
Crystal system ... orthorhombic

Cell: 8.0037 8.0037 17.6393 Å, 90.00 90.00 149.02°
Sites, in units of the cell vectors:
Cu 0.5842 0.4158 0.5196
Cu 0.6708 0.3292 0.2500
Te 0.4448 0.5552 0.8742
Te 0.8360 0.1640 0.0704
Cu 0.4158 0.5842 0.4804
Te 0.5552 0.4448 0.1258
Ho 0.1943 0.8057 0.3979
Ho 0.1943 0.8057 0.1021
Ho 0.8057 0.1943 0.6021
Cu 0.3292 0.6708 0.7500
S 0.2384 0.7616 0.2500
Rb 0.9249 0.0751 0.2500
Ho 0.8057 0.1943 0.8979
Cu 0.4158 0.5842 0.0196
Cu 0.5842 0.4158 0.9804
Te 0.8360 0.1640 0.4297
Te 0.5552 0.4448 0.3742
Te 0.4448 0.5552 0.6258
S 0.7616 0.2384 0.7500
Te 0.1640 0.8360 0.5704
Rb 0.0751 0.9249 0.7500
Te 0.1640 0.8360 0.9296

=====

Record 3
Below is a relaxed structure of RbHo2CuTe3S, with properties calculated at the PBE level.

Summary:
Distance to the lowest polymorph of the same formula ... 0.0470 eV per atom
Crystal system ... orthorhombic

Cell: 7.6998 7.6998 15.3798 Å, 90.00 90.00 148.22°
Sites, in units of the cell vectors:
Te 0.2432 0.7568 0.6060
Ho 0.1176 0.8824 0.0600
Ho 0.8824 0.1176 0.9400
Ho 0.1176 0.8824 0.4400
Te 0.7568 0.2432 0.1060
Rb 0.3744 0.6256 0.2500
Te 0.2432 0.7568 0.8940
S 0.5000 0.5000 0.0000
Rb 0.6256 0.3744 0.7500
Te 0.9424 0.0576 0.7500
Cu 0.6599 0.3401 0.2500
S 0.5000 0.5000 0.5000
Ho 0.8824 0.1176 0.5600
Te 0.0576 0.9424 0.2500
Te 0.7568 0.2432 0.3940
Cu 0.3401 0.6599 0.7500

=====

Record 4
Below is a relaxed structure of RbHo2Cu3Se5, with properties calculated at the PBE level.

Summary:
Final energy ... -4.643 eV per atom
Crystal system ... orthorhombic

Cell: 7.5318 7.5318 17.0078 Å, 90.00 90.00 148.35°
Sites, in units of the cell vectors:
Cu 0.9146 0.0854 0.9714
Ho 0.3087 0.6913 0.4076
Rb 0.4389 0.5611 0.7500
Ho 0.3087 0.6913 0.0924
Se 0.0587 0.9413 0.8826
Se 0.6665 0.3335 0.0719
Cu 0.1574 0.8426 0.7500
Se 0.2539 0.7461 0.2500
Se 0.0587 0.9413 0.6174
Se 0.9413 0.0587 0.1174
Cu 0.9146 0.0854 0.5286
Cu 0.0854 0.9146 0.4714
Se 0.3335 0.6665 0.9281
Se 0.7461 0.2539 0.7500
Ho 0.6913 0.3087 0.9076
Cu 0.0854 0.9146 0.0286
Se 0.9413 0.0587 0.3826
Rb 0.5611 0.4389 0.2500
Ho 0.6913 0.3087 0.5924
Cu 0.8426 0.1574 0.2500
Se 0.6665 0.3335 0.4281
Se 0.3335 0.6665 0.5719

=====

Record 5
Below is a relaxed structure of Rb2Ho4Cu4Se9, with properties calculated at the PBE level.

Summary:
Final energy ... -4.783 eV per atom
Crystal system ... monoclinic

Cell: 7.5166 7.5166 16.5408 Å, 108.16 108.16 31.76°
Sites, in units of the cell vectors:
Rb 0.4687 0.4687 0.2283
Se 0.7972 0.7972 0.1010
Se 0.8936 0.8936 0.3728
Se 0.5000 0.5000 0.0000
Cu 0.0747 0.0747 0.4692
Ho 0.7299 0.7299 0.6024
Se 0.6386 0.6386 0.4232
Cu 0.2547 0.2547 0.7696
Se 0.3614 0.3614 0.5768
Cu 0.9253 0.9253 0.5308
Rb 0.5313 0.5313 0.7717
Ho 0.8452 0.8452 0.9436
Se 0.1518 0.1518 0.2240
Ho 0.2701 0.2701 0.3976
Se 0.8482 0.8482 0.7760
Ho 0.1548 0.1548 0.0564
Se 0.1064 0.1064 0.6272
Cu 0.7453 0.7453 0.2304
Se 0.2028 0.2028 0.8990

=====

Record 6
Below is a relaxed structure of RbHo2CuTe3Se, with properties calculated at the PBE level.

Summary:
Final energy ... -4.531 eV per atom
Crystal system ... orthorhombic

Cell: 7.7748 7.7748 15.3881 Å, 90.00 90.00 147.96°
Sites, in units of the cell vectors:
Cu 0.1603 0.8397 0.2500
Te 0.2598 0.7402 0.1076
Te 0.7402 0.2598 0.6076
Ho 0.3767 0.6233 0.9386
Ho 0.3767 0.6233 0.5614
Te 0.2598 0.7402 0.3924
Cu 0.8397 0.1603 0.7500
Rb 0.1210 0.8790 0.7500
Ho 0.6233 0.3767 0.0614
Ho 0.6233 0.3767 0.4386
Te 0.7402 0.2598 0.8924
Se 0.0000 0.0000 0.5000
Te 0.5605 0.4395 0.2500
Te 0.4395 0.5605 0.7500
Rb 0.8790 0.1210 0.2500
Se 0.0000 0.0000 0.0000

=====

Record 7
Below is a relaxed structure of RbHo2Cu3Te4Se, with properties calculated at the PBE level.

Summary:
Final energy ... -4.285 eV per atom
Crystal system ... orthorhombic

Cell: 7.9907 7.9907 17.7707 Å, 90.00 90.00 148.68°
Sites, in units of the cell vectors:
Te 0.6639 0.3361 0.5718
Ho 0.6929 0.3071 0.0980
Ho 0.6929 0.3071 0.4020
Cu 0.8350 0.1650 0.7500
Rb 0.5686 0.4314 0.7500
Cu 0.9145 0.0855 0.0205
Te 0.0550 0.9450 0.1236
Se 0.7438 0.2562 0.2500
Te 0.6639 0.3361 0.9282
Ho 0.3071 0.6929 0.9020
Rb 0.4314 0.5686 0.2500
Te 0.9450 0.0550 0.8764
Ho 0.3071 0.6929 0.5980
Cu 0.0855 0.9145 0.9795
Se 0.2562 0.7438 0.7500
Te 0.3361 0.6639 0.4282
Cu 0.0855 0.9145 0.5205
Cu 0.1650 0.8350 0.2500
Te 0.9450 0.0550 0.6236
Te 0.0550 0.9450 0.3764
Cu 0.9145 0.0855 0.4795
Te 0.3361 0.6639 0.0718

=====

Record 8
Below is a relaxed structure of RbHo2Cu3TeSe4, with properties calculated at the PBE level.

Summary:
Final energy ... -4.533 eV per atom
Crystal system ... orthorhombic

Cell: 7.5542 7.5542 17.4474 Å, 90.00 90.00 148.03°
Sites, in units of the cell vectors:
Cu 0.9142 0.0858 0.4698
Se 0.9409 0.0591 0.6134
Ho 0.6886 0.3114 0.0864
Rb 0.5505 0.4495 0.7500
Cu 0.0858 0.9142 0.9698
Cu 0.0858 0.9142 0.5302
Se 0.3329 0.6671 0.4276
Se 0.0591 0.9409 0.1134
Se 0.6671 0.3329 0.5724
Se 0.0591 0.9409 0.3866
Se 0.9409 0.0591 0.8866
Ho 0.3114 0.6886 0.5864
Cu 0.8492 0.1508 0.7500
Te 0.7506 0.2494 0.2500
Ho 0.6886 0.3114 0.4136
Te 0.2494 0.7506 0.7500
Se 0.6671 0.3329 0.9276
Cu 0.1508 0.8492 0.2500
Rb 0.4495 0.5505 0.2500
Se 0.3329 0.6671 0.0724
Cu 0.9142 0.0858 0.0302
Ho 0.3114 0.6886 0.9136

=====

Record 9
Below is a relaxed structure of RbHo2Cu3Te5, with properties calculated at the PBE level.

Summary:
Final energy ... -4.194 eV per atom
Crystal system ... orthorhombic

Cell: 8.0151 8.0151 18.1744 Å, 90.00 90.00 148.36°
Sites, in units of the cell vectors:
Cu 0.9139 0.0861 0.5226
Te 0.9441 0.0559 0.3804
Te 0.3368 0.6632 0.5740
Cu 0.1596 0.8404 0.7500
Te 0.6632 0.3368 0.0740
Ho 0.6911 0.3089 0.5908
Cu 0.0861 0.9139 0.4774
Te 0.0559 0.9441 0.8804
Ho 0.3089 0.6911 0.0908
Cu 0.9139 0.0861 0.9774
Ho 0.3089 0.6911 0.4092
Te 0.7498 0.2502 0.7500
Te 0.3368 0.6632 0.9260
Ho 0.6911 0.3089 0.9092
Te 0.6632 0.3368 0.4260
Te 0.9441 0.0559 0.1196
Rb 0.5560 0.4440 0.2500
Te 0.0559 0.9441 0.6196
Cu 0.8404 0.1596 0.2500
Rb 0.4440 0.5560 0.7500
Cu 0.0861 0.9139 0.0226
Te 0.2502 0.7498 0.2500

=====

Record 10
Below is a relaxed structure of RbHoCuTe3, with properties calculated at the PBE level.

Summary:
Final energy ... -4.028 eV per atom
Crystal system ... orthorhombic

Cell: 11.2392 4.2032 16.9061 Å, 90.00 90.00 90.00°
Sites, in units of the cell vectors:
Cu 0.7363 0.7500 0.7774
Cu 0.7637 0.2500 0.2774
Te 0.7339 0.2500 0.6805
Te 0.5511 0.7500 0.8709
Te 0.2339 0.2500 0.8195
Rb 0.2333 0.2500 0.4967
Rb 0.7333 0.2500 0.0033
Te 0.5818 0.2500 0.3739
Te 0.4489 0.2500 0.1291
Te 0.0818 0.2500 0.1261
Te 0.2661 0.7500 0.3195
Te 0.4182 0.7500 0.6261
Te 0.7661 0.7500 0.1805
Rb 0.2667 0.7500 0.9967
Rb 0.7667 0.7500 0.5033
Ho 0.5170 0.7500 0.2515
Te 0.9489 0.2500 0.3709
Ho 0.0170 0.7500 0.2485
Cu 0.2637 0.2500 0.2226
Te 0.0511 0.7500 0.6291
Cu 0.2363 0.7500 0.7226
Ho 0.9830 0.2500 0.7515
Ho 0.4830 0.2500 0.7485
Te 0.9182 0.7500 0.8739

=====

Record 11
Below is a relaxed structure of RbHo2CuTe4, with properties calculated at the PBE level.

Summary:
Final energy ... -4.428 eV per atom
Crystal system ... orthorhombic

Cell: 7.9100 7.9100 15.4414 Å, 90.00 90.00 147.81°
Sites, in units of the cell vectors:
Rb 0.1118 0.8882 0.2500
Cu 0.1622 0.8378 0.7500
Te 0.5672 0.4328 0.7500
Ho 0.6342 0.3658 0.5653
Te 0.4328 0.5672 0.2500
Ho 0.3658 0.6342 0.0653
Rb 0.8882 0.1118 0.7500
Te 0.0000 0.0000 0.0000
Ho 0.6342 0.3658 0.9347
Te 0.2649 0.7351 0.8896
Te 0.7351 0.2649 0.3896
Te 0.2649 0.7351 0.6104
Cu 0.8378 0.1622 0.2500
Te 0.0000 0.0000 0.5000
Te 0.7351 0.2649 0.1104
Ho 0.3658 0.6342 0.4347

=====

Record 12
Below is a relaxed structure of RbHoCuTe3, with properties calculated at the PBE level.

Summary:
Final energy ... -4.028 eV per atom
Crystal system ... orthorhombic

Cell: 8.6707 8.6707 11.2779 Å, 90.00 90.00 151.89°
Sites, in units of the cell vectors:
Te 0.3751 0.6249 0.4372
Te 0.0666 0.9334 0.2500
Te 0.6249 0.3751 0.9372
Te 0.3751 0.6249 0.0628
Te 0.9334 0.0666 0.7500
Cu 0.5321 0.4679 0.7500
Ho 0.0000 0.0000 0.0000
Cu 0.4679 0.5321 0.2500
Ho 0.0000 0.0000 0.5000
Te 0.6249 0.3751 0.5628
Rb 0.7460 0.2540 0.2500
Rb 0.2540 0.7460 0.7500

=====

Record 13
Below is a relaxed structure of HoCuS2, with properties calculated at the PBE level.

Summary:
Final energy ... -5.330 eV per atom
Crystal system ... tetragonal

Cell: 7.0634 7.0634 7.0634 Å, 133.16 133.16 68.40°
Sites, in units of the cell vectors:
Cu 0.7500 0.2500 0.5000
Ho 0.5000 0.5000 0.0000
S 0.0868 0.1250 0.4618
S 0.8750 0.3368 0.9618
S 0.3750 0.9132 0.0382
S 0.6632 0.6250 0.5382
Cu 0.0000 0.0000 0.0000
Ho 0.2500 0.7500 0.5000

=====

Record 14
Below is a relaxed structure of HoScCuS3, with properties calculated at the PBE level.

Summary:
Final energy ... -5.990 eV per atom
Crystal system ... orthorhombic

Cell: 6.4468 6.4468 9.6166 Å, 90.00 90.00 146.86°
Sites, in units of the cell vectors:
S 0.3583 0.6417 0.0690
S 0.0965 0.9035 0.2500
S 0.3583 0.6417 0.4310
Cu 0.5188 0.4812 0.7500
S 0.6417 0.3583 0.9310
Ho 0.7678 0.2322 0.2500
Cu 0.4812 0.5188 0.2500
Sc 0.0000 0.0000 0.0000
Ho 0.2322 0.7678 0.7500
S 0.6417 0.3583 0.5690
Sc 0.0000 0.0000 0.5000
S 0.9035 0.0965 0.7500

=====

Record 15
Below is a relaxed structure of HoTm2Sc3CuS2, with properties calculated at the PBE level.

Summary:
Final energy ... -5.702 eV per atom
Crystal system ... orthorhombic

Cell: 3.7562 7.5363 7.5363 Å, 119.90 90.00 90.00°
Last column: magnetic moment on the atom in μB.
Sites, in units of the cell vectors:
Ho 0.0000 0.4089 0.4089  0.22
Sc 0.5000 0.7487 0.7487  0.27
Sc 0.5000 0.2512 0.9995  0.25
S 0.5000 0.3332 0.6674  -0.01
S 0.5000 0.6674 0.3332  -0.01
Tm 0.0000 0.0004 0.5928  0.22
Cu 0.0000 0.9978 0.9978  0.07
Tm 0.0000 0.5928 0.0004  0.25
Sc 0.5000 0.9995 0.2512  0.29

=====

Record 16
Below is a relaxed structure of Ho2TmSc3CuS2, with properties calculated at the PBE level.

Summary:
Final energy ... -5.718 eV per atom
Crystal system ... orthorhombic

Cell: 3.7628 7.5443 7.5443 Å, 120.11 90.00 90.00°
Last column: magnetic moment on the atom in μB.
Sites, in units of the cell vectors:
Sc 0.5000 0.2513 0.0003  0.24
Cu 0.0000 0.0025 0.0025  0.07
S 0.5000 0.6659 0.3334  -0.01
Ho 0.0000 0.9996 0.5909  0.20
Tm 0.0000 0.4072 0.4072  0.23
S 0.5000 0.3334 0.6659  -0.01
Sc 0.5000 0.7489 0.7489  0.27
Sc 0.5000 0.0003 0.2513  0.29
Ho 0.0000 0.5909 0.9996  0.23

=====

Record 17
Below is a relaxed structure of HoCuSnSe2S, with properties calculated at the PBE level.

Summary:
Final energy ... -4.880 eV per atom
Crystal system ... orthorhombic

Cell: 7.0217 7.0217 10.0970 Å, 90.00 90.00 147.37°
Sites, in units of the cell vectors:
S 0.0751 0.9249 0.2500
Se 0.6448 0.3552 0.5654
Ho 0.0000 0.0000 0.5000
Se 0.3552 0.6448 0.4346
Se 0.6448 0.3552 0.9346
Sn 0.2536 0.7464 0.7500
Cu 0.5240 0.4760 0.7500
Sn 0.7464 0.2536 0.2500
Se 0.3552 0.6448 0.0654
Cu 0.4760 0.5240 0.2500
S 0.9249 0.0751 0.7500
Ho 0.0000 0.0000 0.0000

=====

no.,size of the total moment (μB/f.u.)
1,0.00
2,0.00
3,0.00
4,0.00
5,0.00
6,0.00
7,0.00
8,0.00
9,0.00
10,0.01
11,0.00
12,0.01
13,0.00
14,0.01
15,2.20
16,2.14
17,0.00